(1)
{
  "formula": "Sc4AlPd",
  "functional": "PBE",
  "state": "relaxed",
  "relative_energy_mev_per_atom": 0,
  "e_form_ev_per_atom": -0.49,
  "total_magnetization_mub_per_cell": 0.0,
  "spacegroup": "F-43m, No. 216",
  "lattice": [[7.765, 0.000, 4.483], [2.588, 7.321, 4.483], [0.000, 0.000, 8.966]],
  "species": ["Sc", "Sc", "Sc", "Sc", "Sc", "Sc", "Sc", "Sc", "Sc", "Sc", "Sc", "Sc", "Sc", "Sc", "Sc", "Sc", "Al", "Al", "Al", "Al", "Pd", "Pd", "Pd", "Pd"],
  "frac_coords": [[0.390, 0.390, 0.390], [0.831, 0.390, 0.390], [0.390, 0.831, 0.390], [0.390, 0.390, 0.831], [0.560, 0.560, 0.940], [0.940, 0.940, 0.560], [0.560, 0.940, 0.560], [0.940, 0.560, 0.940], [0.940, 0.560, 0.560], [0.560, 0.940, 0.940], [0.185, 0.185, 0.815], [0.815, 0.815, 0.185], [0.185, 0.815, 0.185], [0.815, 0.185, 0.815], [0.815, 0.185, 0.185], [0.185, 0.815, 0.815], [0.168, 0.168, 0.168], [0.495, 0.168, 0.168], [0.168, 0.495, 0.168], [0.168, 0.168, 0.495], [0.602, 0.602, 0.602], [0.195, 0.602, 0.602], [0.602, 0.195, 0.602], [0.602, 0.602, 0.195]]
}

=====

(2)
{
  "formula": "ScAlPd",
  "functional": "PBE",
  "state": "relaxed",
  "e_form_ev_per_atom": -0.82,
  "total_magnetization_mub_per_cell": 0.0,
  "spacegroup": "Imma, No. 74",
  "lattice": [[-1.477, -4.765, 1.586], [5.047, 0.854, -1.094], [-0.202, 3.874, 3.514]],
  "species": ["Sc", "Sc", "Al", "Al", "Pd", "Pd"],
  "frac_coords": [[0.250, 0.128, 0.878], [0.750, 0.872, 0.122], [0.000, 0.500, 0.500], [0.500, 0.000, 0.500], [0.500, 0.500, 0.500], [0.000, 0.500, 0.000]]
}

=====

(3)
{
  "formula": "Sc3Al4Pd2",
  "functional": "PBE",
  "state": "relaxed",
  "e_form_ev_per_atom": -0.71,
  "total_magnetization_mub_per_cell": 0.0,
  "spacegroup": "C2/m, No. 12",
  "lattice": [[-1.641, 0.607, -4.120], [-2.558, -3.800, 2.891], [-1.785, 7.965, 1.885]],
  "species": ["Sc", "Sc", "Sc", "Al", "Al", "Al", "Al", "Pd", "Pd"],
  "frac_coords": [[0.658, 0.316, 0.674], [0.000, 0.000, 0.000], [0.342, 0.684, 0.326], [0.700, 0.399, 0.040], [0.300, 0.601, 0.960], [0.913, 0.826, 0.586], [0.087, 0.174, 0.414], [0.611, 0.222, 0.277], [0.389, 0.778, 0.723]]
}

=====

(4)
{
  "formula": "ScAl2Pd",
  "functional": "PBE",
  "state": "relaxed",
  "e_form_ev_per_atom": -0.29,
  "total_magnetization_mub_per_cell": 0.0,
  "spacegroup": "I-42d, No. 122",
  "lattice": [[-0.245, -0.513, 3.885], [2.903, -2.638, -0.165], [7.859, 5.525, 3.210]],
  "species": ["Sc", "Sc", "Al", "Al", "Al", "Al", "Pd", "Pd"],
  "frac_coords": [[0.500, 0.500, 0.000], [0.250, 0.750, 0.500], [0.637, 0.125, 0.250], [0.113, 0.625, 0.250], [0.375, 0.363, 0.750], [0.875, 0.887, 0.750], [0.000, 0.000, 0.000], [0.750, 0.250, 0.500]]
}